# 1
A plane-wave DFT calculation with PBE was carried out for TcW after structural relaxation.

ρ: 15.03 g/cm3
calculated formation energy: 236 meV per atom
crystal system: trigonal
energy above the most stable polymorph in this dataset: 0.172 eV per atom

POSCAR file:
```
TcW
1.0
-0.0266 1.8661 2.0579
-6.5233 -5.9310 3.4186
1.8453 -0.1867 2.0684
Tc W
2 2
direct
0.9969 0.9907 0.9969
0.2531 0.7593 0.2531
0.5025 0.5075 0.5025
0.7475 0.2425 0.7475
```


# 2
A plane-wave DFT calculation with PBE was carried out for ZrB3Ir after structural relaxation.

ρ: 7.22 g/cm3
calculated formation energy: 2167 meV per atom
crystal system: cubic
energy above the most stable polymorph in this dataset: 1.544 eV per atom

POSCAR file:
```
ZrB3Ir
1.0
-1.8629 2.6771 -2.6011
-2.9175 0.7690 2.8810
2.3283 3.1056 1.5289
B Ir Zr
3 1 1
direct
0.0000 0.5000 0.0000
0.0000 0.0000 0.5000
0.5000 0.0000 0.0000
0.5000 0.5000 0.5000
0.0000 0.0000 0.0000
```


# 3
A plane-wave DFT calculation with PBE was carried out for PrCdRhPb after structural relaxation.

ρ: 10.02 g/cm3
calculated formation energy: -266 meV per atom
crystal system: cubic

POSCAR file:
```
PrCdRhPb
1.0
-1.3464 -4.7847 -1.1096
-0.8624 -3.3373 3.7492
-4.7427 -1.5957 0.9478
Pb Pr Rh Cd
1 1 1 1
direct
0.7500 0.7500 0.7500
0.2500 0.2500 0.2500
0.0000 0.0000 0.0000
0.5000 0.5000 0.5000
```


Number 1: total DFT energy (no corrections) -45.69 eV per cell. Number 2: total DFT energy (no corrections) -26.61 eV per cell. Number 3: total DFT energy (no corrections) -17.82 eV per cell.